VASP calculation (GGA-PBE) on crystalline BaEuAs at its relaxed geometry.

Output
DFT total energy: -38.21 eV for the cell shown
ΔE to the lowest computed polymorph: 86.1 meV per atom
Theoretical density: 5.4 g/cm³
Formation energy from the elements: -753 meV per atom

Lattice parameters (Å, degrees): 3.9923 3.9923 14.1360 90.00 90.00 90.00
With the nearest neighbours (Å) after each atom.
Space group I4mm (No. 107)
Asymmetric unit:
Ba (0.0000, 0.0000, 0.0000) (multiplicity 2)  1 Eu 3.33, 4 As 3.42
Eu (0.0000, 0.0000, 0.2357) (multiplicity 2)  4 As 3.15, 1 Ba 3.33
As (0.0000, 0.0000, 0.6365) (multiplicity 2)  4 Eu 3.15, 4 Ba 3.42

---

VASP calculation (GGA-PBE) on crystalline BaEuAs at its relaxed geometry.

Output
DFT total energy: -77.45 eV for the cell shown
ΔE to the lowest computed polymorph: 0.0 meV per atom
Theoretical density: 5.5 g/cm³
Formation energy from the elements: -839 meV per atom

Lattice parameters (Å, degrees): 7.6126 7.6126 7.6126 90.00 90.00 90.00
With the nearest neighbours (Å) after each atom.
Space group F-43m (No. 216)
Asymmetric unit:
Ba (0.0000, 0.0000, 0.0000) (multiplicity 4)  4 As 3.30
Eu (0.0000, 0.0000, 0.5000) (multiplicity 4)  4 As 3.30
As (0.2500, 0.2500, 0.2500) (multiplicity 4)  4 Ba 3.30, 4 Eu 3.30

---

VASP calculation (GGA-PBE) on crystalline BaEu2As at its relaxed geometry.

Output
DFT total energy: -87.87 eV for the cell shown
Theoretical density: 4.6 g/cm³
Formation energy from the elements: -542 meV per atom

Lattice parameters (Å, degrees): 4.3446 4.3446 34.3806 90.00 90.00 120.00
With the nearest neighbours (Å) after each atom.
Space group R-3m (No. 166, hexagonal axes)
Asymmetric unit:
Ba (0.0000, 0.0000, 0.0000) (multiplicity 3)  2 Eu 4.10, 6 Ba 4.34
Eu (0.0000, 0.0000, 0.1193) (multiplicity 6)  3 As 2.99
As (0.0000, 0.0000, 0.5000) (multiplicity 3)  6 Eu 2.99

---

VASP calculation (GGA-PBE) on crystalline Ba3EuAs at its relaxed geometry.

Output
DFT total energy: -22.76 eV for the cell shown
Theoretical density: 3.8 g/cm³
Formation energy from the elements: -413 meV per atom

Lattice parameters (Å, degrees): 6.5149 6.5149 6.5149 90.00 90.00 90.00
With the nearest neighbours (Å) after each atom.
Space group Pm-3m (No. 221)
Asymmetric unit:
Ba (0.0000, 0.0000, 0.5000) (multiplicity 3)  2 As 3.26
Eu (0.5000, 0.5000, 0.5000) (multiplicity 1)  12 Ba 4.61
As (0.0000, 0.0000, 0.0000) (multiplicity 1)  6 Ba 3.26

---

VASP calculation (GGA-PBE) on crystalline BaEuAs2 at its relaxed geometry.

Output
DFT total energy: -75.39 eV for the cell shown
Theoretical density: 5.6 g/cm³
Formation energy from the elements: -909 meV per atom

Lattice parameters (Å, degrees): 4.5529 4.5529 21.7981 90.00 90.00 120.00
With the nearest neighbours (Å) after each atom.
Space group R-3m (No. 166, hexagonal axes)
Asymmetric unit:
Ba (0.0000, 0.0000, 0.0000) (multiplicity 3)  6 As 3.37
Eu (0.0000, 0.0000, 0.5000) (multiplicity 3)  6 As 3.04
As (0.0000, 0.0000, 0.2363) (multiplicity 6)  3 Eu 3.04, 3 Ba 3.37

---

VASP calculation (GGA-PBE) on crystalline BaEuAsH at its relaxed geometry.

Output
DFT total energy: -92.23 eV for the cell shown
Theoretical density: 5.8 g/cm³

Lattice parameters (Å, degrees): 7.4980 7.4980 7.4980 90.00 90.00 90.00
With the nearest neighbours (Å) after each atom.
Space group F-43m (No. 216)
Asymmetric unit:
Ba (0.0000, 0.0000, 0.0000) (multiplicity 4)  4 H 3.25, 4 As 3.25
Eu (0.0000, 0.0000, 0.5000) (multiplicity 4)  4 H 3.25, 4 As 3.25
As (0.2500, 0.2500, 0.2500) (multiplicity 4)  4 Ba 3.25, 4 Eu 3.25
H (0.2500, 0.2500, 0.7500) (multiplicity 4)  4 Ba 3.25, 4 Eu 3.25

---

VASP calculation (GGA-PBE) on crystalline BaAsF2 at its relaxed geometry.

Output
DFT total energy: -70.90 eV for the cell shown
ΔE to the lowest computed polymorph: 332.6 meV per atom
Theoretical density: 5.0 g/cm³
Formation energy from raw total energies: -7.41 eV per formula unit

Lattice parameters (Å, degrees): 6.9119 6.9119 6.9119 90.00 90.00 90.00
With the nearest neighbours (Å) after each atom.
Space group Fm-3m (No. 225)
Asymmetric unit:
Ba (0.0000, 0.0000, 0.0000) (multiplicity 4)  8 F 2.99
As (0.0000, 0.0000, 0.5000) (multiplicity 4)  8 F 2.99
F (0.2500, 0.2500, 0.2500) (multiplicity 8)  4 Ba 2.99, 4 As 2.99

---

VASP calculation (GGA-PBE) on crystalline BaAs2F at its relaxed geometry.

Output
DFT total energy: -57.61 eV for the cell shown
ΔE to the lowest computed polymorph: 1214.0 meV per atom
Theoretical density: 5.1 g/cm³
Formation energy from raw total energies: -1.31 eV per formula unit

Lattice parameters (Å, degrees): 7.3392 7.3392 7.3392 90.00 90.00 90.00
With the nearest neighbours (Å) after each atom.
Space group Fm-3m (No. 225)
Asymmetric unit:
Ba (0.0000, 0.0000, 0.0000) (multiplicity 4)  8 As 3.18
As (0.2500, 0.2500, 0.2500) (multiplicity 8)  4 Ba 3.18, 4 F 3.18
F (0.0000, 0.0000, 0.5000) (multiplicity 4)  8 As 3.18

---

VASP calculation (GGA-PBE) on crystalline BaAs2F2 at its relaxed geometry.

Output
DFT total energy: -45.04 eV for the cell shown
ΔE to the lowest computed polymorph: 0.0 meV per atom
Theoretical density: 4.8 g/cm³
Formation energy from raw total energies: -7.55 eV per formula unit

Lattice parameters (Å, degrees): 5.0416 5.0416 8.8083 90.00 90.00 90.00
With the nearest neighbours (Å) after each atom.
Space group I4/mmm (No. 139)
Asymmetric unit:
Ba (0.0000, 0.0000, 0.0000) (multiplicity 2)  10 As 3.33-3.72, 8 F 3.35
As (0.0000, 0.0000, 0.3782) (multiplicity 4)  1 As 2.15
F (0.0000, 0.5000, 0.2500) (multiplicity 4)  4 As 2.76

---

VASP calculation (GGA-PBE) on crystalline BaAs2F2 at its relaxed geometry.

Output
DFT total energy: -41.59 eV for the cell shown
ΔE to the lowest computed polymorph: 344.8 meV per atom
Theoretical density: 4.3 g/cm³
Formation energy from raw total energies: -5.83 eV per formula unit

Lattice parameters (Å, degrees): 7.7834 7.7834 4.1503 90.00 90.00 90.00
With the nearest neighbours (Å) after each atom.
Space group P4/mbm (No. 127)
Asymmetric unit:
Ba (0.0000, 0.0000, 0.0000) (multiplicity 2)  4 As 3.23, 8 F 3.45
As (0.0969, 0.4031, 0.0000) (multiplicity 4)  1 As 2.13
F (0.2466, 0.7466, 0.5000) (multiplicity 4)  2 As 2.70

---

VASP calculation (GGA-PBE) on crystalline BaAsF6 at its relaxed geometry.

Output
DFT total energy: -117.10 eV for the cell shown
ΔE to the lowest computed polymorph: 46.9 meV per atom
Theoretical density: 4.3 g/cm³
Formation energy from raw total energies: -21.23 eV per formula unit

Lattice parameters (Å, degrees): 5.3620 5.3620 15.2253 90.00 90.00 120.00
With the nearest neighbours (Å) after each atom.
Space group R-3m (No. 166, hexagonal axes)
Asymmetric unit:
Ba (0.0000, 0.0000, 0.0000) (multiplicity 3)  12 F 3.02
As (0.0000, 0.0000, 0.5000) (multiplicity 3)  6 F 1.91
F (0.0033, 0.5016, 0.0916) (multiplicity 18)  1 As 1.91

---

VASP calculation (GGA-PBE) on crystalline BaAsF2 at its relaxed geometry.

Output
DFT total energy: -70.32 eV for the cell shown
ΔE to the lowest computed polymorph: 368.8 meV per atom
Theoretical density: 4.6 g/cm³
Formation energy from raw total energies: -7.26 eV per formula unit

Lattice parameters (Å, degrees): 7.1849 7.1849 7.0726 90.00 90.00 90.00
With the nearest neighbours (Å) after each atom.
Space group I-42d (No. 122)
Asymmetric unit:
Ba (0.0000, 0.0000, 0.0000) (multiplicity 4)  4 F 2.57
As (0.0000, 0.0000, 0.5000) (multiplicity 4)  4 F 2.82
F (0.2245, 0.2500, 0.1250) (multiplicity 8)  2 Ba 2.57, 2 As 2.82